A geometry-optimized Ga2IrF structure. Source: Alexandria, functional PBE.

## Properties
**Formation energy from raw total energies**: -14.4 kcal/mol of atoms
**Symmetry**: No. 122
**Density**: 9.5 g/cm³
**Magnetic moment**: 0.00 μB/f.u.
**VASP energy**: -4.823 eV per atom

Unit cell a=6.142 b=6.142 c=5.431 alpha=55.56 beta=55.56 gamma=90.00
Atoms (fractional coordinates):
1 Ir 0.000 0.000 0.000
2 Ir 0.750 0.250 0.500
3 Ga 0.375 0.407 0.750
4 Ga 0.593 0.125 0.250
5 Ga 0.157 0.625 0.250
6 Ga 0.875 0.843 0.750
7 F 0.250 0.750 0.500
8 F 0.500 0.500 0.000